1.
First-principles (PBE) data for a relaxed Be3NbBr crystal, as listed in the Alexandria database.

Lattice parameters (Å, degrees): 4.271 4.271 4.271 90.00 90.00 90.00
Element x y z (fractional)
1 Be 0.000 0.000 0.500
2 Be 0.000 0.500 0.000
3 Be 0.500 0.000 0.000
4 Nb 0.500 0.500 0.500
5 Br 0.000 0.000 0.000

## Properties
crystal system	cubic
V	77.9	Å³/f.u.
space-group type	Pm-3m
energy	-15.38	eV for the cell shown

=====

2.
First-principles (PBE) data for a relaxed BeNb2Br crystal, as listed in the Alexandria database.

Lattice parameters (Å, degrees): 7.282 7.282 7.282 138.33 138.33 60.39
Element x y z (fractional)
1 Be 0.000 0.000 0.000
2 Be 0.750 0.250 0.500
3 Nb 0.052 0.625 0.927
4 Nb 0.375 0.302 0.427
5 Nb 0.698 0.125 0.073
6 Nb 0.875 0.948 0.573
7 Br 0.250 0.750 0.500
8 Br 0.500 0.500 0.000

## Properties
crystal system	tetragonal
V	84.4	Å³/f.u.
space-group type	I-42d
energy	-43.13	eV for the cell shown